Record 1
Density functional theory data (PBE) for a relaxed structure of TiMoRh.

Computed properties:
The size of the total moment comes out at 0.00 μB/cell. As for the space-group type: Amm2 (38). The value obtained for the theoretical density is 8.9 Mg/m³. Its calculated formation energy is -1.0 eV/f.u. The energy above the most stable polymorph in this dataset comes out at 0.0504 eV per atom.

Lattice parameters (Å, degrees): 4.443 3.136 13.151 90.00 90.00 90.00
Sites, in units of the cell vectors:
Mo  0.000  0.000  0.576
Mo  0.000  0.500  0.076
Mo  0.000  0.000  0.239
Mo  0.000  0.500  0.739
Rh  0.500  0.000  0.405
Rh  0.500  0.500  0.905
Rh  0.500  0.000  0.087
Rh  0.500  0.500  0.587
Ti  0.500  0.000  0.747
Ti  0.500  0.500  0.247
Ti  0.000  0.000  0.912
Ti  0.000  0.500  0.412

Record 2
Density functional theory data (PBE) for a relaxed structure of TiMoRh.

Computed properties:
The size of the total moment comes out at 0.00 μB/cell. As for the space-group type: P3m1 (156). The value obtained for the theoretical density is 9.0 Mg/m³. Its calculated formation energy is -1.2 eV/f.u. The energy above the most stable polymorph in this dataset comes out at 0.0000 eV per atom.

Lattice parameters (Å, degrees): 4.374 4.374 5.516 90.00 90.00 120.00
Sites, in units of the cell vectors:
Mo  0.667  0.333  0.704
Mo  0.000  0.000  0.559
Rh  0.333  0.667  0.918
Rh  0.667  0.333  0.211
Ti  0.000  0.000  0.050
Ti  0.333  0.667  0.404

Record 3
Density functional theory data (PBE) for a relaxed structure of TiMoRh2.

Computed properties:
The size of the total moment comes out at 0.01 μB/cell. As for the space-group type: Fm-3m (225). The value obtained for the theoretical density is 9.5 Mg/m³. Its calculated formation energy is -0.7 eV/f.u. The energy above the most stable polymorph in this dataset comes out at 0.2447 eV per atom.

Lattice parameters (Å, degrees): 4.418 4.418 4.418 60.00 60.00 60.00
Sites, in units of the cell vectors:
Mo  0.500  0.500  0.500
Rh  0.250  0.250  0.250
Rh  0.750  0.750  0.750
Ti  0.000  0.000  0.000

Record 4
Density functional theory data (PBE) for a relaxed structure of TiMoRh2.

Computed properties:
The size of the total moment comes out at 0.00 μB/cell. As for the space-group type: P4/mmm (123). The value obtained for the theoretical density is 9.7 Mg/m³. Its calculated formation energy is -1.6 eV/f.u. The energy above the most stable polymorph in this dataset comes out at 0.0000 eV per atom.

Lattice parameters (Å, degrees): 2.812 2.812 7.536 90.00 90.00 90.00
Sites, in units of the cell vectors:
Mo  0.500  0.500  0.500
Rh  0.000  0.000  0.753
Rh  0.000  0.000  0.247
Ti  0.500  0.500  0.000

Record 5
Density functional theory data (PBE) for a relaxed structure of TiMoRh.

Computed properties:
The size of the total moment comes out at 0.00 μB/cell. As for the space-group type: Cm (8). The value obtained for the theoretical density is 8.8 Mg/m³. Its calculated formation energy is -0.9 eV/f.u. The energy above the most stable polymorph in this dataset comes out at 0.1035 eV per atom.

Lattice parameters (Å, degrees): 6.212 3.261 9.697 90.00 109.49 90.00
Sites, in units of the cell vectors:
Mo  0.435  0.000  0.348
Mo  0.435  0.500  0.848
Mo  0.285  0.000  0.998
Mo  0.285  0.500  0.498
Rh  0.113  0.000  0.666
Rh  0.113  0.500  0.166
Rh  0.923  0.000  0.352
Rh  0.923  0.500  0.852
Ti  0.788  0.000  0.018
Ti  0.788  0.500  0.518
Ti  0.611  0.000  0.687
Ti  0.611  0.500  0.187

Record 6
Density functional theory data (PBE) for a relaxed structure of TiMo2Rh.

Computed properties:
The size of the total moment comes out at 0.00 μB/cell. As for the space-group type: I-42d (122). The value obtained for the theoretical density is 8.5 Mg/m³. Its calculated formation energy is 1.4 eV/f.u. The energy above the most stable polymorph in this dataset comes out at 0.3164 eV per atom.

Lattice parameters (Å, degrees): 7.272 7.272 5.735 50.65 50.65 90.00
Sites, in units of the cell vectors:
Mo  0.643  0.125  0.250
Mo  0.107  0.625  0.250
Mo  0.375  0.357  0.750
Mo  0.875  0.893  0.750
Rh  0.000  0.000  0.000
Rh  0.750  0.250  0.500
Ti  0.500  0.500  0.000
Ti  0.250  0.750  0.500